[1]
## BaCr2FeCo (SCAN)

Data for BaCr2FeCo at its PBEsol-relaxed geometry.

N(E_F): 3.275 states/eV per cell
DFT total energy: -21.55 eV per atom
DFT formation energy: 18.39 kcal/mol of atoms

Cell lengths 4.4801, 4.4801, 4.6492 Å; angles 90.00, 90.00, 90.00 degrees
With the nearest neighbours (Å) after each atom.
Space group P4/mmm (No. 123)
Symmetry-distinct sites (fractional):
1 Ba 0.0000 0.0000 0.0000  4 Fe 3.17, 8 Cr 3.23
2 Cr 0.0000 0.5000 0.5000  2 Co 2.24
3 Fe 0.5000 0.5000 0.0000  2 Co 2.32
4 Co 0.5000 0.5000 0.5000  4 Cr 2.24, 2 Fe 2.32


[2]
## Ba2CrCoTe (SCAN)

Data for Ba2CrCoTe at its PBEsol-relaxed geometry.

N(E_F): 3.303 states/eV per cell
Uncorrected formation energy: 15.49 kJ per mole of atoms
DFT total energy: -30.25 eV per atom

Cell lengths 6.5176, 6.5176, 4.5953 Å; angles 90.00, 90.00, 90.00 degrees
With the nearest neighbours (Å) after each atom.
Space group P4/mmm (No. 123)
Symmetry-distinct sites (fractional):
1 Ba 0.0000 0.5000 0.0000  2 Te 3.26
2 Cr 0.0000 0.0000 0.5000  8 Ba 3.99
3 Co 0.5000 0.5000 0.5000  2 Te 2.30
4 Te 0.5000 0.5000 0.0000  2 Co 2.30


Question: Which of these has the lowest N(E_F)?
Answer: BaCr2FeCo